No. 1
MnTcSn2 | the Alexandria database | PBE | relaxed; energy relative to the elements = 0.255 eV/atom; V = 17.99 Å³/atom; space-group type = Fm-3m, No. 225
1.0
0.000 3.301 3.301
3.301 0.000 3.301
3.301 3.301 0.000
Mn Tc Sn
1 1 2
direct
0.000 0.000 0.000
0.500 0.500 0.500
0.250 0.250 0.250
0.750 0.750 0.750



No. 2
PaSe5 | the Alexandria database | PBE | relaxed; formation energy (no corrections) = -0.57 eV per atom; V = 25.20 Å³/atom; space-group type = Cmmm, No. 65
1.0
2.006 -9.384 0.000
2.006 9.384 0.000
0.000 0.000 4.015
Pa Se
1 5
direct
0.000 0.000 0.000
0.134 0.866 0.500
0.366 0.634 0.000
0.500 0.500 0.500
0.634 0.366 0.000
0.866 0.134 0.500



No. 3
Pm3NdHo3Te8 | the Alexandria database | PBE | relaxed; formation energy (no corrections) = -1.40 eV per atom; V = 31.89 Å³/atom; space-group type = R-3m, No. 166
1.0
4.388 2.533 7.172
-4.388 2.533 7.172
0.000 -5.067 7.172
Pm Nd Ho Te
3 1 3 8
direct
0.000 0.500 0.500
0.500 0.000 0.500
0.500 0.500 0.000
0.500 0.500 0.500
0.000 0.000 0.500
0.000 0.500 0.000
0.500 0.000 0.000
0.234 0.759 0.759
0.241 0.241 0.766
0.241 0.766 0.241
0.247 0.247 0.247
0.753 0.753 0.753
0.759 0.234 0.759
0.759 0.759 0.234
0.766 0.241 0.241



No. 4
K2TaBO | the Alexandria database | PBE | relaxed; formation energy (no corrections) = 0.82 eV per atom; V = 35.98 Å³/atom; space-group type = P4/mmm, No. 123
1.0
6.825 0.000 0.000
0.000 6.825 0.000
0.000 0.000 3.862
K Ta B O
2 1 1 1
direct
0.000 0.500 0.000
0.500 0.000 0.000
0.000 0.000 0.000
0.500 0.500 0.500
0.000 0.000 0.500



No. 5
CsBaLiP2O7 | the Alexandria database | PBE | relaxed; formation energy (no corrections) = -2.54 eV per atom; V = 17.33 Å³/atom; space-group type = P2_1/c, No. 14
1.0
7.202 0.000 0.000
0.000 11.013 0.000
-2.971 0.000 10.491
Cs Ba Li P O
4 4 4 8 28
direct
0.243 0.169 0.006
0.243 0.331 0.506
0.757 0.669 0.494
0.757 0.831 0.994
0.196 0.558 0.878
0.196 0.942 0.378
0.804 0.058 0.622
0.804 0.442 0.122
0.340 0.741 0.641
0.340 0.759 0.141
0.660 0.241 0.859
0.660 0.259 0.359
0.164 0.637 0.335
0.164 0.863 0.835
0.376 0.015 0.696
0.376 0.485 0.196
0.624 0.515 0.804
0.624 0.985 0.304
0.836 0.137 0.165
0.836 0.363 0.665
0.005 0.053 0.165
0.005 0.447 0.665
0.126 0.724 0.221
0.126 0.776 0.721
0.180 0.058 0.610
0.180 0.442 0.110
0.244 0.704 0.461
0.244 0.796 0.961
0.344 0.546 0.326
0.344 0.954 0.826
0.463 0.586 0.129
0.463 0.914 0.629
0.481 0.618 0.757
0.481 0.882 0.257
0.519 0.118 0.743
0.519 0.382 0.243
0.537 0.086 0.371
0.537 0.414 0.871
0.656 0.046 0.174
0.656 0.454 0.674
0.756 0.204 0.039
0.756 0.296 0.539
0.820 0.558 0.890
0.820 0.942 0.390
0.874 0.224 0.279
0.874 0.276 0.779
0.995 0.553 0.335
0.995 0.947 0.835



No. 6
TaTiRe | the Alexandria database | PBE | relaxed; energy relative to the elements = 0.041 eV/atom; V = 16.82 Å³/atom; space-group type = Cmcm, No. 63
1.0
2.378 -4.095 0.000
2.378 4.095 0.000
0.000 0.000 5.181
Ta Ti Re
2 2 2
direct
0.164 0.836 0.750
0.836 0.164 0.250
0.500 0.500 0.000
0.500 0.500 0.500
0.170 0.830 0.250
0.830 0.170 0.750



No. 7
LiTbPrCd | the Alexandria database | PBE | relaxed; energy relative to the elements = -0.115 eV/atom; V = 27.44 Å³/atom; space-group type = F-43m, No. 216
1.0
0.000 3.800 3.800
3.800 0.000 3.800
3.800 3.800 0.000
Li Tb Pr Cd
1 1 1 1
direct
0.000 0.000 0.000
0.250 0.250 0.250
0.750 0.750 0.750
0.500 0.500 0.500



No. 8
La2ThSi | the Alexandria database | PBE | relaxed; formation energy (no corrections) = -0.23 eV per atom; V = 29.00 Å³/atom; space-group type = P4/mmm, No. 123
1.0
3.928 0.000 0.000
0.000 3.928 0.000
0.000 0.000 7.519
La Th Si
2 1 1
direct
0.000 0.000 0.203
0.000 0.000 0.797
0.500 0.500 0.500
0.500 0.500 0.000



No. 9
ScGe2BAu | the Alexandria database | PBE | relaxed; energy relative to the elements = 0.657 eV/atom; V = 21.59 Å³/atom; space-group type = P4/mmm, No. 123
1.0
5.193 0.000 0.000
0.000 5.193 0.000
0.000 0.000 4.002
Sc Ge B Au
1 2 1 1
direct
0.000 0.000 0.000
0.000 0.500 0.500
0.500 0.000 0.500
0.500 0.500 0.000
0.500 0.500 0.500



No. 10
CaTe2Au2 | the Alexandria database | PBE | relaxed; formation energy (no corrections) = -0.49 eV per atom; V = 25.04 Å³/atom; space-group type = P4/mbm, No. 127
1.0
7.933 0.000 0.000
0.000 7.933 0.000
0.000 0.000 3.980
Ca Te Au
2 4 4
direct
0.000 0.000 0.000
0.500 0.500 0.000
0.196 0.304 0.500
0.304 0.804 0.500
0.696 0.196 0.500
0.804 0.696 0.500
0.121 0.621 0.000
0.379 0.121 0.000
0.621 0.879 0.000
0.879 0.379 0.000



No. 11
InGa2PtN | the Alexandria database | PBE | relaxed; formation energy (no corrections) = 0.29 eV per atom; V = 16.52 Å³/atom; space-group type = P4/mmm, No. 123
1.0
4.104 0.000 0.000
0.000 4.104 0.000
0.000 0.000 4.903
In Ga Pt N
1 2 1 1
direct
0.000 0.000 0.000
0.000 0.500 0.500
0.500 0.000 0.500
0.500 0.500 0.000
0.000 0.000 0.500



No. 12
TbPrO4 | the Alexandria database | PBE | relaxed; formation energy (no corrections) = -2.88 eV per atom; V = 14.24 Å³/atom; space-group type = Cm, No. 8
1.0
3.352 -1.991 0.000
3.352 1.991 0.000
-0.876 0.000 6.403
Tb Pr O
1 1 4
direct
0.000 0.000 0.000
0.607 0.607 0.539
0.225 0.225 0.330
0.389 0.389 0.191
0.655 0.655 0.923
0.958 0.958 0.640